TbHo4As5 (PBE-GGA, optimized geometry); space-group type = I4/m; D(E_F) = 0.75 states/eV/f.u.; total magnetic moment = 0.00 μB per cell; energy of formation = -148 kJ per mole of atoms; uncorrected energy = -6.15 eV per atom
1.0
-4.594 4.594 2.905
4.594 -4.594 2.905
4.594 4.594 -2.905
Tb Ho As
1 4 5
Direct
0.000 0.000 0.000
0.200 0.400 0.600
0.400 0.800 0.200
0.600 0.200 0.800
0.800 0.600 0.400
0.100 0.699 0.799
0.301 0.100 0.402
0.500 0.500 0.000
0.699 0.900 0.598
0.900 0.301 0.201